An optimized crystal structure of ScTaCd2O6. Source: Alexandria via LeMat-Bulk, functional PBE-GGA.

The structure in extended XYZ format:
```
20
Lattice="5.500 0.000 0.000 0.000 5.654 0.000 -5.479 0.000 7.965" Properties=species:S:1:pos:R:3 pbc="T T T"
Sc 0.000 0.000 0.000
Sc -2.740 2.827 3.982
Ta 0.010 0.000 3.982
Ta 2.750 2.827 0.000
Cd -2.682 0.242 5.976
Cd 0.057 2.585 1.993
Cd -0.037 3.069 5.972
Cd 2.703 5.412 1.989
O -0.564 0.237 2.052
O -3.303 2.589 6.035
O 1.115 3.907 0.416
O -1.625 4.573 4.399
O 1.727 1.158 0.460
O -1.013 1.669 4.442
O 1.033 3.984 3.523
O -1.707 4.496 7.505
O 1.645 1.080 3.566
O -1.094 1.746 7.548
O 3.324 3.064 1.930
O 0.584 5.416 5.912
```

Properties
**Mass density**: 7.33 Mg/m³
**DFT total energy**: -7.29 eV per atom
**DOS at the Fermi energy**: 0.00 states/eV/atom

---

An optimized crystal structure of Th2SnPdRh5. Source: Alexandria via LeMat-Bulk, functional PBE-GGA.

The structure in extended XYZ format:
```
18
Lattice="-4.212 4.212 5.236 4.212 -4.212 5.236 4.212 4.212 -5.236" Properties=species:S:1:pos:R:3 pbc="T T T"
Th 5.392 1.181 0.000
Th 1.181 3.031 0.000
Th 3.031 1.181 5.236
Th -1.181 3.031 5.236
Sn 0.000 0.000 2.618
Sn 0.000 0.000 7.854
Pd 4.212 0.000 2.618
Pd 0.000 4.212 2.618
Rh 0.000 0.000 0.000
Rh 2.604 1.608 -1.436
Rh 2.604 -1.608 3.800
Rh 2.604 1.608 1.436
Rh 2.604 -1.608 6.672
Rh 0.000 0.000 5.236
Rh 1.608 5.820 -1.436
Rh 1.608 2.604 3.800
Rh 1.608 5.820 1.436
Rh 1.608 2.604 6.672
```

Properties
**Mass density**: 10.76 Mg/m³
**DOS at the Fermi energy**: 0.62 states/eV/atom
**ΔH_f (0 K)**: -226 meV per atom

---

An optimized crystal structure of HfHgN2. Source: Alexandria via LeMat-Bulk, functional PBE-GGA.

The structure in extended XYZ format:
```
8
Lattice="-2.555 2.555 5.034 2.555 -2.555 5.034 2.555 2.555 -5.034" Properties=species:S:1:pos:R:3 pbc="T T T"
Hf 0.000 0.000 0.000
Hf 0.000 2.555 2.517
Hg 2.555 0.000 2.517
Hg 0.000 0.000 5.034
N 3.832 1.019 -1.259
N 1.019 1.277 1.259
N -1.277 1.536 3.776
N 1.536 1.277 6.293
```

Properties
**Mass density**: 10.29 Mg/m³
**DFT total energy**: -7.17 eV per atom
**DOS at the Fermi energy**: 0.00 states/eV/atom